This record from Alexandria describes a PBEsol-optimized structure of TiTeAsI2. The functional is SCAN.

Lattice parameters (Å, degrees): 5.5036 5.5036 5.4212 90.00 90.00 90.00
Space group P4/mmm (No. 123)
Unique sites:
Ti: 0.0000 0.0000 0.0000 [1 per cell]
Te: 0.5000 0.5000 0.0000 [1 per cell]
As: 0.5000 0.5000 0.5000 [1 per cell]
I: 0.0000 0.5000 0.5000 [2 per cell]

Computed properties:
- Total DFT energy (no corrections): -144.77 eV per cell
- Uncorrected formation energy: 0.4372 eV per atom